La2BiTe4 after structural relaxation. Source: Alexandria, functional PBE.

Properties
space group: No. 12
ΔE to the lowest computed polymorph: 0.00 eV/f.u.

Cell: 4.774 8.068 8.533 Å, 118.59 106.25 90.00°
Fractional coordinates of all 7 atoms:
Te 0.369 0.712 0.738
Te 0.631 0.288 0.262
Bi 0.000 0.000 0.000
Te 0.118 0.787 0.236
La 0.740 0.753 0.480
La 0.260 0.247 0.520
Te 0.882 0.213 0.764

AcHo2N after structural relaxation. Source: Alexandria, functional PBE.

Properties
space group: No. 166
ΔE to the lowest computed polymorph: 0.00 eV/f.u.

Cell: 3.519 3.519 10.088 Å, 79.96 79.96 60.00°
Fractional coordinates of all 4 atoms:
N 0.500 0.500 0.500
Ho 0.123 0.123 0.632
Ac 0.000 0.000 0.000
Ho 0.877 0.877 0.368

Zr2FeSe after structural relaxation. Source: Alexandria, functional PBE.

Properties
uncorrected energy: -30.74 eV for the cell shown
space group: No. 99

Cell: 3.718 3.722 5.664 Å, 90.00 90.00 90.00°
Fractional coordinates of all 4 atoms:
Zr 0.500 0.500 0.346
Se 0.500 0.500 0.826
Fe 0.000 0.000 0.373
Zr 0.000 0.000 0.955

Cu12SiGe3 after structural relaxation. Source: Alexandria, functional PBE.

Properties
uncorrected energy: -68.45 eV for the cell shown
space group: No. 123

Cell: 3.734 3.734 14.558 Å, 90.00 90.00 90.00°
Fractional coordinates of all 16 atoms:
Ge 0.000 0.000 0.500
Si 0.000 0.000 0.000
Cu 0.500 0.500 0.000
Cu 0.500 0.500 0.753
Ge 0.000 0.000 0.247
Cu 0.500 0.500 0.500
Cu 0.000 0.500 0.374
Ge 0.000 0.000 0.753
Cu 0.000 0.500 0.626
Cu 0.500 0.000 0.119
Cu 0.000 0.500 0.119
Cu 0.500 0.000 0.626
Cu 0.500 0.000 0.881
Cu 0.500 0.000 0.374
Cu 0.500 0.500 0.247
Cu 0.000 0.500 0.881

Sc2ZnTeN after structural relaxation. Source: Alexandria, functional PBE.

Properties
uncorrected energy: -24.90 eV for the cell shown
space group: No. 123

Cell: 5.233 3.666 5.233 Å, 90.00 90.00 90.00°
Each line ends with the local moment (μB).
Fractional coordinates of all 5 atoms:
Sc 0.000 0.000 0.500  0.37
Sc 0.500 0.000 0.000  0.48
N 0.000 0.500 0.000  0.00
Zn 0.000 0.000 0.000  0.05
Te 0.500 0.500 0.500  -0.03

TlBAu2 after structural relaxation. Source: Alexandria, functional PBE.

Properties
space group: No. 225
ΔE to the lowest computed polymorph: 2.56 eV/f.u.

Cell: 4.733 4.733 4.733 Å, 60.00 60.00 60.00°
Fractional coordinates of all 4 atoms:
Au 0.750 0.750 0.750
Tl 0.500 0.500 0.500
Au 0.250 0.250 0.250
B 0.000 0.000 0.000

Number 1: N(E_F) 3.77 states/eV/cell, total magnetization 0.000 μB per atom. Number 2: N(E_F) 5.25 states/eV/cell, total magnetization 0.019 μB per atom. Number 3: N(E_F) 3.94 states/eV/cell, total magnetization 0.000 μB per atom. Number 4: N(E_F) 5.49 states/eV/cell, total magnetization 0.000 μB per atom. Number 5: N(E_F) 3.15 states/eV/cell, total magnetization 0.263 μB per atom. Number 6: N(E_F) 1.55 states/eV/cell, total magnetization 0.000 μB per atom.